Arrangement P

First-principles (PBE with a Hubbard U) data for an optimized crystal structure of CoPbSO, as listed in OQMD.

SG = Cmcm (63)
crystal system = orthorhombic

Unit cell a=3.853 b=12.496 c=5.933 alpha=90.00 beta=90.00 gamma=90.00
Element x y z (fractional)
Co1 0.000 0.099 0.250
Co2 0.000 0.901 0.750
Co3 0.500 0.401 0.750
Co4 0.500 0.599 0.250
Pb1 0.000 0.386 0.250
Pb2 0.000 0.614 0.750
Pb3 0.500 0.114 0.750
Pb4 0.500 0.886 0.250
S1 0.000 0.296 0.750
S2 0.000 0.704 0.250
S3 0.500 0.204 0.250
S4 0.500 0.796 0.750
O1 0.000 0.000 0.000
O2 0.000 0.000 0.500
O3 0.500 0.500 0.000
O4 0.500 0.500 0.500


Arrangement Q

First-principles (PBE with a Hubbard U) data for an optimized crystal structure of CoPbSO, as listed in OQMD.

SG = Pca2_1 (29)
crystal system = orthorhombic

Unit cell a=7.165 b=6.990 c=6.292 alpha=90.00 beta=90.00 gamma=90.00
Element x y z (fractional)
Co1 0.102 0.145 0.000
Co2 0.398 0.145 0.500
Co3 0.602 0.855 0.000
Co4 0.898 0.855 0.500
Pb1 0.138 0.644 0.088
Pb2 0.362 0.644 0.588
Pb3 0.638 0.356 0.088
Pb4 0.862 0.356 0.588
S1 0.097 0.097 0.369
S2 0.403 0.097 0.869
S3 0.597 0.903 0.369
S4 0.903 0.903 0.869
O1 0.023 0.393 0.908
O2 0.477 0.393 0.408
O3 0.523 0.607 0.908
O4 0.977 0.607 0.408


Relative energy of each structure, in meV/atom: arrangement P 34; arrangement Q 0.